First-principles (PBE-GGA) data for a relaxed BaSc2Ag2 crystal, as listed in Alexandria.

Summary:
The electronic total energy comes out at -4.02 eV per atom. The value obtained for the energy above the most stable polymorph in this dataset is 88 meV/atom.

Cell: 8.6091 8.6091 3.5057 Å, 90.00 90.00 90.00°
Space group P4/mbm (No. 127)
Symmetry-distinct sites (fractional):
1 Ba 0.0000 0.0000 0.0000 x2
2 Sc 0.1501 0.3499 0.5000 x4
3 Ag 0.1276 0.6276 0.0000 x4